A plane-wave DFT calculation with PBE was carried out for Ba5PuS6 after structural relaxation.

Properties
Formation energy without anion corrections, eV/atom: -1.95
Symmetry: C2/m

a = 7.7354 Å, b = 7.7535 Å, c = 7.7461 Å
α = 59.97°, β = 80.35°, γ = 70.43°
Each line ends with the local moment (μB).
Fractional positions:
S 0.2370 0.2313 0.0000  -0.03
S 0.2364 0.6102 0.3110  -0.03
S 0.7636 0.0788 0.3110  -0.03
S 0.7630 0.7687 0.0000  -0.03
S 0.7636 0.3898 0.6890  -0.03
S 0.2364 0.9212 0.6890  -0.03
Pu 0.0000 0.0000 0.0000  5.40
Ba 0.5000 0.1682 0.6637  0.03
Ba 0.5000 0.8318 0.3363  0.03
Ba 0.0000 0.6662 0.6675  0.03
Ba 0.0000 0.3338 0.3325  0.03
Ba 0.5000 0.5000 0.0000  0.03